Record 1
! Hf2ZnO, relaxed, DFT PBE; values from VASP
&SYSTEM
  ibrav = 0, nat = 4, ntyp = 3
/
ATOMIC_SPECIES
Hf 178.49 Hf.upf
Zn 65.41 Zn.upf
O 16.00 O.upf
CELL_PARAMETERS angstrom
0.000 3.162 3.162
3.162 0.000 3.162
3.162 3.162 0.000
ATOMIC_POSITIONS angstrom
Hf 1.581 1.581 1.581
Hf 4.743 4.743 4.743
Zn 0.000 0.000 0.000
O 3.162 3.162 3.162
! calculated volume	63.22	Å³/cell
! total moment	0.0	μB/f.u.
! E_tot	-6.860	eV/atom
! relative energy among the computed polymorphs	841.7	meV/atom
! formation energy (no corrections)	-0.32	eV per atom
! SG	No. 225

***

Record 2
! Hf2ZnO, relaxed, DFT PBE; values from VASP
&SYSTEM
  ibrav = 0, nat = 4, ntyp = 3
/
ATOMIC_SPECIES
Hf 178.49 Hf.upf
Zn 65.41 Zn.upf
O 16.00 O.upf
CELL_PARAMETERS angstrom
1.617 0.933 6.973
-1.617 0.933 6.973
0.000 -1.867 6.973
ATOMIC_POSITIONS angstrom
Hf 0.000 0.000 0.000
Hf 0.000 0.000 4.419
Zn 0.000 0.000 16.160
O 0.000 0.000 12.640
! calculated volume	63.12	Å³/cell
! total moment	0.0	μB/f.u.
! E_tot	-7.701	eV/atom
! relative energy among the computed polymorphs	0.0	meV/atom
! formation energy (no corrections)	-1.17	eV per atom
! SG	No. 160

***

Record 3
! HfZnO3, relaxed, DFT PBE; values from VASP
&SYSTEM
  ibrav = 0, nat = 5, ntyp = 3
/
ATOMIC_SPECIES
Hf 178.49 Hf.upf
Zn 65.41 Zn.upf
O 16.00 O.upf
CELL_PARAMETERS angstrom
3.760 0.000 0.000
0.000 3.760 0.000
0.000 0.000 3.760
ATOMIC_POSITIONS angstrom
Hf 0.000 0.000 0.000
Zn 1.880 1.880 1.880
O 0.000 1.880 1.880
O 1.880 0.000 1.880
O 1.880 1.880 0.000
! calculated volume	53.14	Å³/cell
! total moment	0.0	μB/f.u.
! E_tot	-6.504	eV/atom
! formation energy (no corrections)	-1.28	eV per atom
! SG	No. 221

***

Record 4
! Hf6ZnO2, relaxed, DFT PBE; values from VASP
&SYSTEM
  ibrav = 0, nat = 9, ntyp = 3
/
ATOMIC_SPECIES
Hf 178.49 Hf.upf
Zn 65.41 Zn.upf
O 16.00 O.upf
CELL_PARAMETERS angstrom
2.816 1.626 7.036
-2.816 1.626 7.036
0.000 -3.252 7.036
ATOMIC_POSITIONS angstrom
Hf -0.951 -1.568 7.036
Hf -1.828 -0.018 11.626
Hf -0.883 1.608 7.036
Hf 0.930 -1.575 11.626
Hf 1.834 -0.040 7.036
Hf 0.899 1.592 11.626
Zn 0.000 0.000 16.374
O 0.000 0.000 7.943
O 0.000 0.000 10.708
! calculated volume	193.27	Å³/cell
! total moment	0.0	μB/f.u.
! E_tot	-8.749	eV/atom
! formation energy (no corrections)	-0.87	eV per atom
! SG	No. 146

***

Record 5
! HfZn3O, relaxed, DFT PBE; values from VASP
&SYSTEM
  ibrav = 0, nat = 5, ntyp = 3
/
ATOMIC_SPECIES
Hf 178.49 Hf.upf
Zn 65.41 Zn.upf
O 16.00 O.upf
CELL_PARAMETERS angstrom
4.287 0.000 0.000
0.000 4.287 0.000
0.000 0.000 4.287
ATOMIC_POSITIONS angstrom
Hf 0.000 0.000 0.000
Zn 0.000 2.144 2.144
Zn 2.144 0.000 2.144
Zn 2.144 2.144 0.000
O 2.144 2.144 2.144
! calculated volume	78.81	Å³/cell
! total moment	0.8	μB/f.u.
! E_tot	-3.694	eV/atom
! relative energy among the computed polymorphs	0.0	meV/atom
! formation energy (no corrections)	0.05	eV per atom
! SG	No. 221

***

Record 6
! Hf2Zn2O, relaxed, DFT PBE; values from VASP
&SYSTEM
  ibrav = 0, nat = 10, ntyp = 3
/
ATOMIC_SPECIES
Hf 178.49 Hf.upf
Zn 65.41 Zn.upf
O 16.00 O.upf
CELL_PARAMETERS angstrom
5.957 0.000 0.000
0.000 5.957 0.000
0.000 0.000 4.768
ATOMIC_POSITIONS angstrom
Hf 1.043 1.936 0.000
Hf 1.936 4.915 0.000
Hf 4.021 1.043 0.000
Hf 4.915 4.021 0.000
Zn 0.861 3.840 2.384
Zn 2.118 0.861 2.384
Zn 3.840 5.096 2.384
Zn 5.096 2.118 2.384
O 0.000 0.000 0.000
O 2.979 2.979 0.000
! calculated volume	169.21	Å³/cell
! total moment	0.0	μB/f.u.
! E_tot	-6.497	eV/atom
! formation energy (no corrections)	-1.01	eV per atom
! SG	No. 127

***

Record 7
! Hf2ZnO, relaxed, DFT PBE; values from VASP
&SYSTEM
  ibrav = 0, nat = 8, ntyp = 3
/
ATOMIC_SPECIES
Hf 178.49 Hf.upf
Zn 65.41 Zn.upf
O 16.00 O.upf
CELL_PARAMETERS angstrom
-2.672 2.672 5.433
2.672 -2.672 5.433
2.672 2.672 -5.433
ATOMIC_POSITIONS angstrom
Hf 4.008 0.833 -1.358
Hf 0.833 1.336 1.358
Hf -1.336 1.839 4.075
Hf 1.839 1.336 6.791
Zn 2.672 0.000 2.717
Zn 0.000 0.000 5.433
O 0.000 0.000 0.000
O 0.000 2.672 2.717
! calculated volume	155.13	Å³/cell
! total moment	0.0	μB/f.u.
! E_tot	-7.428	eV/atom
! relative energy among the computed polymorphs	273.9	meV/atom
! formation energy (no corrections)	-0.89	eV per atom
! SG	No. 122

***

Record 8
! Hf2ZnO, relaxed, DFT PBE; values from VASP
&SYSTEM
  ibrav = 0, nat = 4, ntyp = 3
/
ATOMIC_SPECIES
Hf 178.49 Hf.upf
Zn 65.41 Zn.upf
O 16.00 O.upf
CELL_PARAMETERS angstrom
2.070 1.195 6.330
-2.070 1.195 6.330
0.000 -2.390 6.330
ATOMIC_POSITIONS angstrom
Hf 0.000 0.000 1.937
Hf 0.000 0.000 17.052
Zn 0.000 0.000 9.494
O 0.000 0.000 0.000
! calculated volume	93.93	Å³/cell
! total moment	0.0	μB/f.u.
! E_tot	-7.334	eV/atom
! relative energy among the computed polymorphs	367.0	meV/atom
! formation energy (no corrections)	-0.80	eV per atom
! SG	No. 166

***

Record 9
! HfZn6O6, relaxed, DFT PBE; values from VASP
&SYSTEM
  ibrav = 0, nat = 13, ntyp = 3
/
ATOMIC_SPECIES
Hf 178.49 Hf.upf
Zn 65.41 Zn.upf
O 16.00 O.upf
CELL_PARAMETERS angstrom
5.763 0.000 0.000
0.000 5.763 0.000
0.000 0.000 5.763
ATOMIC_POSITIONS angstrom
Hf 0.000 0.000 0.000
Zn 0.000 1.453 2.881
Zn 0.000 4.310 2.881
Zn 1.453 2.881 0.000
Zn 2.881 0.000 1.453
Zn 2.881 0.000 4.310
Zn 4.310 2.881 0.000
O 0.000 2.881 1.440
O 0.000 2.881 4.322
O 1.440 0.000 2.881
O 2.881 1.440 0.000
O 2.881 4.322 0.000
O 4.322 0.000 2.881
! calculated volume	191.38	Å³/cell
! total moment	2.4	μB/f.u.
! E_tot	-4.490	eV/atom
! formation energy (no corrections)	-0.85	eV per atom
! SG	No. 200

***

Record 10
! HfZnO3, relaxed, DFT PBE; values from VASP
&SYSTEM
  ibrav = 0, nat = 5, ntyp = 3
/
ATOMIC_SPECIES
Hf 178.49 Hf.upf
Zn 65.41 Zn.upf
O 16.00 O.upf
CELL_PARAMETERS angstrom
4.042 0.000 0.000
0.000 4.042 0.000
0.000 0.000 4.042
ATOMIC_POSITIONS angstrom
Hf 0.000 0.000 0.000
Zn 2.021 2.021 2.021
O 0.000 0.000 2.021
O 0.000 2.021 0.000
O 2.021 0.000 0.000
! calculated volume	66.05	Å³/cell
! total moment	0.0	μB/f.u.
! E_tot	-7.235	eV/atom
! formation energy (no corrections)	-2.02	eV per atom
! SG	No. 221

***

Record 11
! HfZn3O, relaxed, DFT PBE; values from VASP
&SYSTEM
  ibrav = 0, nat = 5, ntyp = 3
/
ATOMIC_SPECIES
Hf 178.49 Hf.upf
Zn 65.41 Zn.upf
O 16.00 O.upf
CELL_PARAMETERS angstrom
5.297 0.000 0.000
0.000 5.297 0.000
0.000 0.000 5.297
ATOMIC_POSITIONS angstrom
Hf 0.000 0.000 0.000
Zn 0.000 0.000 2.649
Zn 0.000 2.649 0.000
Zn 2.649 0.000 0.000
O 2.649 2.649 2.649
! calculated volume	148.63	Å³/cell
! total moment	0.0	μB/f.u.
! E_tot	-2.377	eV/atom
! relative energy among the computed polymorphs	1316.4	meV/atom
! formation energy (no corrections)	1.37	eV per atom
! SG	No. 221

***

Record 12
! HfZnO3, relaxed, DFT PBE; values from VASP
&SYSTEM
  ibrav = 0, nat = 10, ntyp = 3
/
ATOMIC_SPECIES
Hf 178.49 Hf.upf
Zn 65.41 Zn.upf
O 16.00 O.upf
CELL_PARAMETERS angstrom
5.661 0.000 0.000
0.000 3.350 0.000
-0.103 0.000 6.248
ATOMIC_POSITIONS angstrom
Hf 1.344 0.838 0.540
Hf 4.214 2.513 5.708
Zn 1.593 2.513 3.621
Zn 3.965 0.838 2.627
O 0.168 2.513 0.998
O 1.599 0.838 2.630
O 2.049 2.513 5.547
O 3.510 0.838 0.701
O 3.960 2.513 3.618
O 5.391 0.838 5.250
! calculated volume	118.49	Å³/cell
! total moment	0.0	μB/f.u.
! E_tot	-7.825	eV/atom
! formation energy (no corrections)	-2.60	eV per atom
! SG	No. 11

***

Record 13
! Hf2ZrZnO, relaxed, DFT PBE; values from VASP
&SYSTEM
  ibrav = 0, nat = 5, ntyp = 4
/
ATOMIC_SPECIES
Hf 178.49 Hf.upf
Zr 91.22 Zr.upf
Zn 65.41 Zn.upf
O 16.00 O.upf
CELL_PARAMETERS angstrom
4.321 0.000 0.000
0.000 4.321 0.000
0.000 0.000 4.597
ATOMIC_POSITIONS angstrom
Hf 0.000 2.160 0.000
Hf 2.160 0.000 0.000
Zr 0.000 0.000 2.298
Zn 2.160 2.160 2.298
O 0.000 0.000 0.000
! calculated volume	85.83	Å³/cell
! total moment	0.0	μB/f.u.
! E_tot	-7.944	eV/atom
! relative energy among the computed polymorphs	0.0	meV/atom
! formation energy (no corrections)	-1.01	eV per atom
! SG	No. 123

***

Record 14
! Hf4ZrO, relaxed, DFT PBE; values from VASP
&SYSTEM
  ibrav = 0, nat = 12, ntyp = 3
/
ATOMIC_SPECIES
Hf 178.49 Hf.upf
Zr 91.22 Zr.upf
O 16.00 O.upf
CELL_PARAMETERS angstrom
2.872 -5.354 0.000
2.872 5.354 0.000
-2.241 0.000 7.651
ATOMIC_POSITIONS angstrom
Hf -0.213 1.287 3.403
Hf -0.179 1.801 6.473
Hf -1.333 -1.287 7.229
Hf 0.942 -1.801 2.648
Hf 2.562 1.801 5.003
Hf 4.837 1.287 0.422
Hf 3.682 -1.801 1.178
Hf 3.716 -1.287 4.247
Zr 2.312 0.939 1.913
Zr 1.192 -0.939 5.738
O 2.312 4.987 1.913
O 1.192 -4.987 5.738
! calculated volume	235.29	Å³/cell
! total moment	0.0	μB/f.u.
! E_tot	-9.523	eV/atom
! formation energy (no corrections)	-0.64	eV per atom
! SG	No. 15

***

Record 15
! HfZrO4, relaxed, DFT PBE; values from VASP
&SYSTEM
  ibrav = 0, nat = 6, ntyp = 3
/
ATOMIC_SPECIES
Hf 178.49 Hf.upf
Zr 91.22 Zr.upf
O 16.00 O.upf
CELL_PARAMETERS angstrom
3.461 -3.468 0.000
3.461 3.468 0.000
0.000 0.000 3.255
ATOMIC_POSITIONS angstrom
Hf 0.000 0.000 0.000
Zr 3.461 0.000 1.627
O 3.461 2.135 1.627
O 2.096 0.000 0.000
O 4.826 0.000 0.000
O 3.461 -2.135 1.627
! calculated volume	78.12	Å³/cell
! total moment	0.0	μB/f.u.
! E_tot	-9.801	eV/atom
! formation energy (no corrections)	-3.41	eV per atom
! SG	No. 65

***

Record 16
! HfZrO4, relaxed, DFT PBE; values from VASP
&SYSTEM
  ibrav = 0, nat = 12, ntyp = 3
/
ATOMIC_SPECIES
Hf 178.49 Hf.upf
Zr 91.22 Zr.upf
O 16.00 O.upf
CELL_PARAMETERS angstrom
-3.462 3.462 3.257
3.462 -3.462 3.257
3.462 3.462 -3.257
ATOMIC_POSITIONS angstrom
Hf 0.000 0.000 0.000
Hf 0.000 3.462 1.629
Zr 3.462 0.000 1.627
Zr 0.000 0.000 3.256
O 3.462 2.109 -1.653
O 0.000 1.354 1.604
O 1.341 3.462 0.023
O 2.121 0.000 3.280
O 3.462 2.121 1.652
O 0.000 1.341 4.909
O -1.354 3.462 3.233
O 1.354 3.462 3.233
! calculated volume	156.16	Å³/cell
! total moment	0.0	μB/f.u.
! E_tot	-9.802	eV/atom
! formation energy (no corrections)	-3.41	eV per atom
! SG	No. 109

***

Record 17
! HfZrO4, relaxed, DFT PBE; values from VASP
&SYSTEM
  ibrav = 0, nat = 12, ntyp = 3
/
ATOMIC_SPECIES
Hf 178.49 Hf.upf
Zr 91.22 Zr.upf
O 16.00 O.upf
CELL_PARAMETERS angstrom
5.880 0.000 0.000
0.000 4.899 0.000
-2.270 0.000 5.422
ATOMIC_POSITIONS angstrom
Hf 0.000 0.000 0.000
Hf -1.135 2.450 2.711
Zr 1.805 0.000 2.711
Zr 2.940 2.450 0.000
O 0.097 0.967 1.863
O -1.038 1.483 4.574
O 0.550 3.387 3.518
O 1.685 3.962 0.807
O 1.924 0.937 4.614
O 3.059 1.513 1.904
O 4.648 3.416 0.848
O 3.512 3.933 3.558
! calculated volume	156.19	Å³/cell
! total moment	0.0	μB/f.u.
! E_tot	-9.802	eV/atom
! formation energy (no corrections)	-3.41	eV per atom
! SG	No. 14

***

Record 18
! HfZrO2, relaxed, DFT PBE; values from VASP
&SYSTEM
  ibrav = 0, nat = 4, ntyp = 3
/
ATOMIC_SPECIES
Hf 178.49 Hf.upf
Zr 91.22 Zr.upf
O 16.00 O.upf
CELL_PARAMETERS angstrom
1.735 1.001 5.774
-1.735 1.001 5.774
0.000 -2.003 5.774
ATOMIC_POSITIONS angstrom
Hf 0.000 0.000 0.000
Zr 0.000 0.000 8.662
O 0.000 0.000 6.536
O 0.000 0.000 10.788
! calculated volume	60.18	Å³/cell
! total moment	0.0	μB/f.u.
! E_tot	-9.545	eV/atom
! relative energy among the computed polymorphs	0.0	meV/atom
! formation energy (no corrections)	-2.44	eV per atom
! SG	No. 166

***

Record 19
! HfZrO, relaxed, DFT PBE; values from VASP
&SYSTEM
  ibrav = 0, nat = 3, ntyp = 3
/
ATOMIC_SPECIES
Hf 178.49 Hf.upf
Zr 91.22 Zr.upf
O 16.00 O.upf
CELL_PARAMETERS angstrom
3.263 0.000 0.000
-1.632 2.826 0.000
0.000 0.000 5.180
ATOMIC_POSITIONS angstrom
Hf 0.000 0.000 0.000
Zr 1.632 0.942 2.469
O 0.000 1.884 3.879
! calculated volume	47.78	Å³/cell
! total moment	0.0	μB/f.u.
! E_tot	-9.552	eV/atom
! relative energy among the computed polymorphs	48.3	meV/atom
! formation energy (no corrections)	-1.73	eV per atom
! SG	No. 156

***

Record 20
! HfZrO, relaxed, DFT PBE; values from VASP
&SYSTEM
  ibrav = 0, nat = 12, ntyp = 3
/
ATOMIC_SPECIES
Hf 178.49 Hf.upf
Zr 91.22 Zr.upf
O 16.00 O.upf
CELL_PARAMETERS angstrom
4.359 -4.161 0.000
4.359 4.161 0.000
-3.101 0.000 5.505
ATOMIC_POSITIONS angstrom
Hf 2.809 4.122 2.753
Hf 2.891 1.588 4.956
Hf 4.442 -1.588 2.203
Hf 4.359 -4.122 0.000
Zr 0.128 0.029 5.150
Zr 1.678 -0.029 2.397
Zr 4.468 1.467 2.223
Zr 2.917 -1.467 4.976
O 0.757 2.124 5.357
O 2.204 2.064 2.830
O 3.754 -2.064 0.077
O 2.308 -2.124 2.605
! calculated volume	199.72	Å³/cell
! total moment	0.0	μB/f.u.
! E_tot	-9.384	eV/atom
! relative energy among the computed polymorphs	216.4	meV/atom
! formation energy (no corrections)	-1.56	eV per atom
! SG	No. 9